CrOsPb2: relaxed, PBE.

Cell lengths 9.0469, 9.0469, 9.0469 Å; angles 21.32, 21.32, 21.32 degrees
Closest atoms and distances in Å follow each position.
Fractional coordinates of all 4 atoms:
Cr1 0.0000 0.0000 0.0000  6 Pb 3.05, 6 Cr 3.35
Os1 0.5000 0.5000 0.5000  6 Pb 2.83
Pb1 0.2445 0.2445 0.2445  3 Os 2.83, 3 Cr 3.05
Pb2 0.7555 0.7555 0.7555  3 Os 2.83, 3 Cr 3.05

Summary:
E above lowest polymorph = 524 meV/atom
SG = R-3m, No. 166
magnetic moment = 1.125 μB per atom
V = 21.43 A^3/atom
formation energy = 0.926 eV/atom
total energy = -6.1413 eV per atom

SrTlPdAu: relaxed, PBE.

Cell lengths 5.1312, 5.1312, 5.1312 Å; angles 60.00, 60.00, 60.00 degrees
Closest atoms and distances in Å follow each position.
Fractional coordinates of all 4 atoms:
Sr1 0.0000 0.0000 0.0000  4 Pd 3.14, 4 Au 3.14
Tl1 0.5000 0.5000 0.5000  4 Pd 3.14, 4 Au 3.14
Pd1 0.7500 0.7500 0.7500  4 Tl 3.14, 4 Sr 3.14
Au1 0.2500 0.2500 0.2500  4 Tl 3.14, 4 Sr 3.14

Summary:
E above lowest polymorph = 64 meV/atom
SG = F-43m, No. 216
magnetic moment = 0.000 μB per atom
V = 23.88 A^3/atom
formation energy = -0.400 eV/atom
total energy = -3.5296 eV per atom

Cs3NaNi2Br9: relaxed, PBE.

Cell lengths 7.5853, 7.5853, 9.4540 Å; angles 90.00, 90.00, 120.00 degrees
Closest atoms and distances in Å follow each position.
Fractional coordinates of all 15 atoms:
Cs1 0.0000 0.0000 0.0000  12 Br 3.75-3.79
Cs2 0.3333 0.6667 0.6684  12 Br 3.80-3.96
Cs3 0.6667 0.3333 0.3316  12 Br 3.80-3.96
Na1 0.0000 0.0000 0.5000  6 Br 2.95
Ni1 0.3333 0.6667 0.1631  6 Br 2.46-2.68
Ni2 0.6667 0.3333 0.8369  6 Br 2.46-2.68
Br1 0.0000 0.5000 0.0000  2 Ni 2.68
Br2 0.1783 0.3566 0.3094  1 Ni 2.46
Br3 0.1783 0.8217 0.3094  1 Ni 2.46
Br4 0.3566 0.1783 0.6906  1 Ni 2.46
Br5 0.5000 0.0000 0.0000  2 Ni 2.68
Br6 0.5000 0.5000 0.0000  2 Ni 2.68
Br7 0.6434 0.8217 0.3094  1 Ni 2.46
Br8 0.8217 0.1783 0.6906  1 Ni 2.46
Br9 0.8217 0.6434 0.6906  1 Ni 2.46

Summary:
SG = P-3m1, No. 164
magnetic moment = 0.187 μB per atom
V = 31.40 A^3/atom
formation energy from raw total energies = -23.5 kcal/mol of atoms
total energy = -3.0505 eV per atom

Sm4BiC: relaxed, PBE.

Cell lengths 5.0319, 9.5224, 7.6690 Å; angles 90.00, 90.00, 90.00 degrees
Closest atoms and distances in Å follow each position.
Fractional coordinates of all 12 atoms:
Sm1 0.2500 0.0577 0.2158  1 C 2.33
Sm2 0.2500 0.2500 0.7133  1 C 2.38
Sm3 0.2500 0.4423 0.2158  1 C 2.33
Sm4 0.2500 0.7500 0.5678  2 C 2.53
Sm5 0.7500 0.2500 0.4322  2 C 2.53
Sm6 0.7500 0.5577 0.7842  1 C 2.33
Sm7 0.7500 0.7500 0.2867  1 C 2.38
Sm8 0.7500 0.9423 0.7842  1 C 2.33
Bi1 0.2500 0.7500 0.0005  9 Sm 3.32-3.53
Bi2 0.7500 0.2500 0.9995  9 Sm 3.32-3.53
C1 0.2500 0.2500 0.4033  5 Sm 2.33-2.53
C2 0.7500 0.7500 0.5967  5 Sm 2.33-2.53

Summary:
E above lowest polymorph = 35 meV/atom
SG = Pmmn, No. 59
magnetic moment = 0.000 μB per atom
V = 30.62 A^3/atom
formation energy = -0.181 eV/atom
total energy = -5.5110 eV per atom

Sm8Sb4AsSe3: relaxed, PBE.

Cell lengths 8.6643, 8.6643, 8.6643 Å; angles 60.03, 60.03, 60.03 degrees
Closest atoms and distances in Å follow each position.
Fractional coordinates of all 16 atoms:
Sm1 0.2470 0.2470 0.2470  3 Se 3.03, 3 Sb 3.10
Sm2 0.2505 0.7436 0.7436  1 As 2.99, 2 Se 3.03, 3 Sb 3.10-3.14
Sm3 0.2564 0.2564 0.7495  1 As 2.99, 2 Se 3.03, 3 Sb 3.10-3.14
Sm4 0.2564 0.7495 0.2564  1 As 2.99, 2 Se 3.03, 3 Sb 3.10-3.14
Sm5 0.7436 0.2505 0.7436  1 As 2.99, 2 Se 3.03, 3 Sb 3.10-3.14
Sm6 0.7436 0.7436 0.2505  1 As 2.99, 2 Se 3.03, 3 Sb 3.10-3.14
Sm7 0.7495 0.2564 0.2564  1 As 2.99, 2 Se 3.03, 3 Sb 3.10-3.14
Sm8 0.7530 0.7530 0.7530  3 Se 3.03, 3 Sb 3.10
Sb1 0.0000 0.0000 0.0000  6 Sm 3.14
Sb2 0.0000 0.5000 0.5000  6 Sm 3.10
Sb3 0.5000 0.0000 0.5000  6 Sm 3.10
Sb4 0.5000 0.5000 0.0000  6 Sm 3.10
As1 0.5000 0.5000 0.5000  6 Sm 2.99
Se1 0.0000 0.0000 0.5000  6 Sm 3.03
Se2 0.0000 0.5000 0.0000  6 Sm 3.03
Se3 0.5000 0.0000 0.0000  6 Sm 3.03

Summary:
SG = R-3m, No. 166
magnetic moment = 0.000 μB per atom
V = 28.76 A^3/atom
formation energy from raw total energies = -34.0 kcal/mol of atoms
total energy = -5.8092 eV per atom

CrBr3: relaxed, PBE.

Cell lengths 6.9694, 6.9694, 6.9694 Å; angles 98.34, 98.34, 135.22 degrees
Closest atoms and distances in Å follow each position.
Fractional coordinates of all 8 atoms:
Cr1 0.0000 0.0000 0.0000  6 Br 2.58-2.65
Cr2 0.7500 0.2500 0.5000  6 Br 2.58-2.65
Br1 0.2500 0.7500 0.5000  2 Cr 2.65
Br2 0.3750 0.2355 0.3605  2 Cr 2.58
Br3 0.5000 0.5000 0.0000  2 Cr 2.65
Br4 0.7645 0.1250 0.1395  2 Cr 2.58
Br5 0.8750 0.0145 0.6395  2 Cr 2.58
Br6 0.9855 0.6250 0.8605  2 Cr 2.58

Summary:
SG = I-42d, No. 122
magnetic moment = 0.750 μB per atom
V = 27.56 A^3/atom
formation energy from raw total energies = -8.5 kcal/mol of atoms
total energy = -4.0288 eV per atom

Ce6BiRh: relaxed, PBE.

Cell lengths 6.5182, 6.5182, 6.3972 Å; angles 107.03, 107.03, 112.79 degrees
Closest atoms and distances in Å follow each position.
Fractional coordinates of all 8 atoms:
Ce1 0.0563 0.5755 0.7783  2 Ce 2.67-2.91, 1 Rh 2.93
Ce2 0.2302 0.2302 0.8004  1 Rh 2.58
Ce3 0.4245 0.9437 0.2217  2 Ce 2.67-2.91, 1 Rh 2.93
Ce4 0.5755 0.0563 0.7783  2 Ce 2.67-2.91, 1 Rh 2.93
Ce5 0.7698 0.7698 0.1996  1 Rh 2.58
Ce6 0.9437 0.4245 0.2217  2 Ce 2.67-2.91, 1 Rh 2.93
Bi1 0.5000 0.5000 0.5000  6 Ce 3.30-3.38, 2 Rh 3.32
Rh1 0.0000 0.0000 0.0000  2 Ce 2.58

Summary:
SG = C2/m, No. 12
magnetic moment = 0.006 μB per atom
V = 26.58 A^3/atom
formation energy = -0.129 eV/atom
total energy = -5.9836 eV per atom

K3Na3SrI8: relaxed, PBE.

Cell lengths 9.5269, 9.5269, 9.8857 Å; angles 118.83, 118.83, 59.95 degrees
Closest atoms and distances in Å follow each position.
Fractional coordinates of all 15 atoms:
K1 0.0000 0.0000 0.0000  6 I 3.55-3.56
K2 0.0000 0.5000 0.0000  6 I 3.56
K3 0.5000 0.0000 0.0000  6 I 3.56
Na1 0.0000 0.5000 0.5000  6 I 3.31-3.32
Na2 0.5000 0.0000 0.5000  6 I 3.31-3.32
Na3 0.5000 0.5000 0.5000  6 I 3.31-3.32
Sr1 0.0000 0.0000 0.5000  6 I 3.30
I1 0.2407 0.2407 0.7244  1 Sr 3.30, 2 Na 3.31, 2 K 3.56
I2 0.2410 0.7426 0.7242  1 Sr 3.30, 2 Na 3.31-3.32, 2 K 3.56
I3 0.2574 0.7590 0.2758  1 Sr 3.30, 2 Na 3.31-3.32, 2 K 3.56
I4 0.2580 0.2580 0.2750  3 Na 3.31-3.32, 3 K 3.55-3.56
I5 0.7420 0.7420 0.7250  3 Na 3.31-3.32, 3 K 3.55-3.56
I6 0.7426 0.2410 0.7242  1 Sr 3.30, 2 Na 3.31-3.32, 2 K 3.56
I7 0.7590 0.2574 0.2758  1 Sr 3.30, 2 Na 3.31-3.32, 2 K 3.56
I8 0.7593 0.7593 0.2756  1 Sr 3.30, 2 Na 3.31, 2 K 3.56

Summary:
SG = C2/m, No. 12
magnetic moment = 0.000 μB per atom
V = 43.01 A^3/atom
formation energy from raw total energies = -33.1 kcal/mol of atoms
total energy = -2.8576 eV per atom

Look up the total energy of the fourth one.
-5.5110 eV per atom

Which of these has the highest magnetic moment?
CrOsPb2

Which value of V does entry 4 give?
30.62 A^3/atom

Look up the total energy of the seventh one.
-5.9836 eV per atom